Entry 1:
The following is a GGA-PBE calculation of a relaxed Np2Al7Zn12 crystal, from Alexandria via LeMat-Bulk.

```
data_Np2Al7Zn12
_chemical_formula_sum 'Np2 Al7 Zn12'
_cell_length_a 12.2706
_cell_length_b 12.2706
_cell_length_c 2.7288
_cell_angle_alpha 90.00
_cell_angle_beta 90.00
_cell_angle_gamma 120.00
_space_group_name_H-M_alt 'P -3'
_space_group_IT_number 147
loop_
_space_group_symop_operation_xyz
'x,y,z'
'-x,-y,-z'
'-y,x-y,z'
'y,-x+y,-z'
'-x+y,-x,z'
'x-y,x,-z'
loop_
_atom_site_label
_atom_site_type_symbol
_atom_site_fract_x
_atom_site_fract_y
_atom_site_fract_z
_atom_site_occupancy
Np1 Np 0.3333 0.6667 0.2527 1
Al1 Al 0.0000 0.0000 0.5000 1
Al2 Al 0.1169 0.6912 0.7516 1
Zn1 Zn 0.0851 0.2408 0.2257 1
Zn2 Zn 0.0984 0.4496 0.7503 1
```

Values from the calculation:
Spin magnetization in Bohr magnetons per cell: 7.34
N(E_F) in states/eV per cell: 13.5
E_tot in eV per cell: -66.81
DFT formation energy in eV per atom: 0.03



Entry 2:
The following is a GGA-PBE calculation of a relaxed NpAl3Zn3 crystal, from Alexandria via LeMat-Bulk.

```
data_NpAl3Zn3
_chemical_formula_sum 'Np8 Al24 Zn24'
_cell_length_a 11.8633
_cell_length_b 11.8633
_cell_length_c 11.8633
_cell_angle_alpha 90.00
_cell_angle_beta 90.00
_cell_angle_gamma 90.00
_space_group_name_H-M_alt 'F m -3 m'
_space_group_IT_number 225
_space_group_name_Hall '-F 4 2 3'
loop_
_atom_site_label
_atom_site_type_symbol
_atom_site_fract_x
_atom_site_fract_y
_atom_site_fract_z
_atom_site_occupancy
Np1 Np 0.2500 0.2500 0.2500 1
Al1 Al 0.0000 0.0000 0.1558 1
Zn1 Zn 0.0000 0.0000 0.3499 1
```

Values from the calculation:
Spin magnetization in Bohr magnetons per cell: 41.54
N(E_F) in states/eV per cell: 125.5
E_tot in eV per cell: -175.91
DFT formation energy in eV per atom: 0.86



Entry 3:
The following is a GGA-PBE calculation of a relaxed Np2AlZn16 crystal, from Alexandria via LeMat-Bulk.

```
data_Np2AlZn16
_chemical_formula_sum 'Np6 Al3 Zn48'
_cell_length_a 9.0074
_cell_length_b 9.0074
_cell_length_c 13.1800
_cell_angle_alpha 90.00
_cell_angle_beta 90.00
_cell_angle_gamma 120.00
_space_group_name_H-M_alt 'R 3 m'
_space_group_IT_number 160
_space_group_name_Hall 'R 3 -2"'
loop_
_atom_site_label
_atom_site_type_symbol
_atom_site_fract_x
_atom_site_fract_y
_atom_site_fract_z
_atom_site_occupancy
Np1 Np 0.0000 0.0000 0.0000 1
Np2 Np 0.0000 0.0000 0.3285 1
Al1 Al 0.0000 0.0000 0.5641 1
Zn1 Zn 0.0000 0.0000 0.7649 1
Zn2 Zn 0.0001 0.2985 0.6639 1
Zn3 Zn 0.0094 0.5047 0.8152 1
Zn4 Zn 0.1680 0.3361 0.4973 1
Zn5 Zn 0.1718 0.3437 0.8454 1
```

Values from the calculation:
Spin magnetization in Bohr magnetons per cell: 25.95
N(E_F) in states/eV per cell: 50.9
E_tot in eV per cell: -153.57
DFT formation energy in eV per atom: -0.06



Entry 4:
The following is a GGA-PBE calculation of a relaxed NpAl2Zn crystal, from Alexandria via LeMat-Bulk.

```
data_NpAl2Zn
_chemical_formula_sum 'Np1 Al2 Zn1'
_cell_length_a 2.6996
_cell_length_b 2.6996
_cell_length_c 9.0789
_cell_angle_alpha 90.00
_cell_angle_beta 90.00
_cell_angle_gamma 90.00
_space_group_name_H-M_alt 'P 4/m m m'
_space_group_IT_number 123
_space_group_name_Hall '-P 4 2'
loop_
_atom_site_label
_atom_site_type_symbol
_atom_site_fract_x
_atom_site_fract_y
_atom_site_fract_z
_atom_site_occupancy
Np1 Np 0.0000 0.0000 0.0000 1
Al1 Al 0.5000 0.5000 0.2631 1
Zn1 Zn 0.0000 0.0000 0.5000 1
```

Values from the calculation:
Spin magnetization in Bohr magnetons per cell: 0.00
N(E_F) in states/eV per cell: 4.3
E_tot in eV per cell: -21.48
DFT formation energy in eV per atom: 0.06



Entry 5:
The following is a GGA-PBE calculation of a relaxed Np2Al5Zn12 crystal, from Alexandria via LeMat-Bulk.

```
data_Np2Al5Zn12
_chemical_formula_sum 'Np6 Al15 Zn36'
_cell_length_a 9.0648
_cell_length_b 9.0648
_cell_length_c 13.3407
_cell_angle_alpha 90.00
_cell_angle_beta 90.00
_cell_angle_gamma 120.00
_space_group_name_H-M_alt 'R -3 m'
_space_group_IT_number 166
_space_group_name_Hall '-R 3 2"'
loop_
_atom_site_label
_atom_site_type_symbol
_atom_site_fract_x
_atom_site_fract_y
_atom_site_fract_z
_atom_site_occupancy
Np1 Np 0.0000 0.0000 0.1742 1
Al1 Al 0.0000 0.0000 0.4012 1
Al2 Al 0.0000 0.5000 0.0000 1
Zn1 Zn 0.0000 0.3005 0.5000 1
Zn2 Zn 0.0143 0.5072 0.6497 1
```

Values from the calculation:
Spin magnetization in Bohr magnetons per cell: 25.47
N(E_F) in states/eV per cell: 58.6
E_tot in eV per cell: -182.31
DFT formation energy in eV per atom: -0.05



Entry 6:
The following is a GGA-PBE calculation of a relaxed NpAl2Zn crystal, from Alexandria via LeMat-Bulk.

```
data_NpAl2Zn
_chemical_formula_sum 'Np4 Al8 Zn4'
_cell_length_a 6.7081
_cell_length_b 6.7081
_cell_length_c 6.7081
_cell_angle_alpha 90.00
_cell_angle_beta 90.00
_cell_angle_gamma 90.00
_space_group_name_H-M_alt 'F m -3 m'
_space_group_IT_number 225
_space_group_name_Hall '-F 4 2 3'
loop_
_atom_site_label
_atom_site_type_symbol
_atom_site_fract_x
_atom_site_fract_y
_atom_site_fract_z
_atom_site_occupancy
Np1 Np 0.0000 0.0000 0.0000 1
Al1 Al 0.2500 0.2500 0.2500 1
Zn1 Zn 0.0000 0.0000 0.5000 1
```

Values from the calculation:
Spin magnetization in Bohr magnetons per cell: 16.44
N(E_F) in states/eV per cell: 30.0
E_tot in eV per cell: -84.31
DFT formation energy in eV per atom: 0.16



Entry 7:
The following is a GGA-PBE calculation of a relaxed NpAl15Zn4 crystal, from Alexandria via LeMat-Bulk.

```
data_NpAl15Zn4
_chemical_formula_sum 'Np1 Al15 Zn4'
_cell_length_a 4.1065
_cell_length_b 4.1065
_cell_length_c 20.1152
_cell_angle_alpha 90.00
_cell_angle_beta 90.00
_cell_angle_gamma 90.00
_space_group_name_H-M_alt 'P 4/m m m'
_space_group_IT_number 123
_space_group_name_Hall '-P 4 2'
loop_
_atom_site_label
_atom_site_type_symbol
_atom_site_fract_x
_atom_site_fract_y
_atom_site_fract_z
_atom_site_occupancy
Np1 Np 0.0000 0.0000 0.0000 1
Al1 Al 0.0000 0.5000 0.1096 1
Al2 Al 0.0000 0.5000 0.3054 1
Al3 Al 0.0000 0.5000 0.5000 1
Al4 Al 0.5000 0.5000 0.0000 1
Al5 Al 0.5000 0.5000 0.2095 1
Al6 Al 0.5000 0.5000 0.4031 1
Zn1 Zn 0.0000 0.0000 0.2058 1
Zn2 Zn 0.0000 0.0000 0.4032 1
```

Values from the calculation:
Spin magnetization in Bohr magnetons per cell: 4.18
N(E_F) in states/eV per cell: 13.7
E_tot in eV per cell: -73.64
DFT formation energy in eV per atom: 0.03



Entry 8:
The following is a GGA-PBE calculation of a relaxed Np2Al9Zn crystal, from Alexandria via LeMat-Bulk.

```
data_Np2Al9Zn
_chemical_formula_sum 'Np2 Al9 Zn1'
_cell_length_a 4.2092
_cell_length_b 4.2092
_cell_length_c 12.4114
_cell_angle_alpha 90.00
_cell_angle_beta 90.00
_cell_angle_gamma 90.00
_space_group_name_H-M_alt 'P 4/m m m'
_space_group_IT_number 123
_space_group_name_Hall '-P 4 2'
loop_
_atom_site_label
_atom_site_type_symbol
_atom_site_fract_x
_atom_site_fract_y
_atom_site_fract_z
_atom_site_occupancy
Np1 Np 0.0000 0.0000 0.1740 1
Al1 Al 0.0000 0.5000 0.0000 1
Al2 Al 0.0000 0.5000 0.3483 1
Al3 Al 0.5000 0.5000 0.1696 1
Al4 Al 0.5000 0.5000 0.5000 1
Zn1 Zn 0.0000 0.0000 0.5000 1
```

Values from the calculation:
Spin magnetization in Bohr magnetons per cell: 8.20
N(E_F) in states/eV per cell: 17.5
E_tot in eV per cell: -61.19
DFT formation energy in eV per atom: -0.03



Entry 9:
The following is a GGA-PBE calculation of a relaxed NpAlZn4 crystal, from Alexandria via LeMat-Bulk.

```
data_NpAlZn4
_chemical_formula_sum 'Np4 Al4 Zn16'
_cell_length_a 7.5334
_cell_length_b 7.5334
_cell_length_c 7.5334
_cell_angle_alpha 90.00
_cell_angle_beta 90.00
_cell_angle_gamma 90.00
_space_group_name_H-M_alt 'F -4 3 m'
_space_group_IT_number 216
_space_group_name_Hall 'F -4 2 3'
loop_
_atom_site_label
_atom_site_type_symbol
_atom_site_fract_x
_atom_site_fract_y
_atom_site_fract_z
_atom_site_occupancy
Np1 Np 0.0000 0.0000 0.0000 1
Al1 Al 0.2500 0.2500 0.7500 1
Zn1 Zn 0.1251 0.1251 0.3749 1
```

Values from the calculation:
Spin magnetization in Bohr magnetons per cell: 16.34
N(E_F) in states/eV per cell: 22.8
E_tot in eV per cell: -84.12
DFT formation energy in eV per atom: 0.12



Entry 10:
The following is a GGA-PBE calculation of a relaxed NpAl2Zn10 crystal, from Alexandria via LeMat-Bulk.

```
data_NpAl2Zn10
_chemical_formula_sum 'Np4 Al8 Zn40'
_cell_length_a 5.3428
_cell_length_b 12.4573
_cell_length_c 12.6422
_cell_angle_alpha 90.00
_cell_angle_beta 90.00
_cell_angle_gamma 90.00
_space_group_name_H-M_alt 'F m m m'
_space_group_IT_number 69
_space_group_name_Hall '-F 2 2'
loop_
_atom_site_label
_atom_site_type_symbol
_atom_site_fract_x
_atom_site_fract_y
_atom_site_fract_z
_atom_site_occupancy
Np1 Np 0.0000 0.0000 0.0000 1
Al1 Al 0.2500 0.2500 0.0000 1
Zn1 Zn 0.0000 0.1062 0.3909 1
Zn2 Zn 0.0000 0.1765 0.1771 1
Zn3 Zn 0.2500 0.0000 0.2500 1
```

Values from the calculation:
Spin magnetization in Bohr magnetons per cell: 18.30
N(E_F) in states/eV per cell: 44.2
E_tot in eV per cell: -134.77
DFT formation energy in eV per atom: -0.04



> Number 6 is which compound?

NpAl2Zn



> What is the spin magnetization in the eighth record?

8.20 Bohr magnetons per cell



What did the eighth record say?
The following is a GGA-PBE calculation of a relaxed Np2Al9Zn crystal, from Alexandria via LeMat-Bulk.

```
data_Np2Al9Zn
_chemical_formula_sum 'Np2 Al9 Zn1'
_cell_length_a 4.2092
_cell_length_b 4.2092
_cell_length_c 12.4114
_cell_angle_alpha 90.00
_cell_angle_beta 90.00
_cell_angle_gamma 90.00
_space_group_name_H-M_alt 'P 4/m m m'
_space_group_IT_number 123
_space_group_name_Hall '-P 4 2'
loop_
_atom_site_label
_atom_site_type_symbol
_atom_site_fract_x
_atom_site_fract_y
_atom_site_fract_z
_atom_site_occupancy
Np1 Np 0.0000 0.0000 0.1740 1
Al1 Al 0.0000 0.5000 0.0000 1
Al2 Al 0.0000 0.5000 0.3483 1
Al3 Al 0.5000 0.5000 0.1696 1
Al4 Al 0.5000 0.5000 0.5000 1
Zn1 Zn 0.0000 0.0000 0.5000 1
```

Values from the calculation:
Spin magnetization in Bohr magnetons per cell: 8.20
N(E_F) in states/eV per cell: 17.5
E_tot in eV per cell: -61.19
DFT formation energy in eV per atom: -0.03